No. 1
The following is a DFT calculation (PBE) of a relaxed structure of Yb2Ni17.

abc: 8.307 8.307 8.029
angles: 90.00 90.00 120.00
Atoms (fractional coordinates):
1 Ni 0.500 0.500 0.000
2 Ni 0.328 0.956 0.250
3 Ni 0.333 0.166 0.479
4 Ni 0.044 0.672 0.250
5 Ni 0.834 0.667 0.479
6 Ni 0.000 0.500 0.000
7 Ni 0.667 0.834 0.979
8 Ni 0.500 0.000 0.000
9 Ni 0.044 0.373 0.250
10 Ni 0.166 0.333 0.979
11 Ni 0.373 0.044 0.750
12 Ni 0.627 0.956 0.250
13 Ni 0.373 0.328 0.750
14 Ni 0.328 0.373 0.250
15 Ni 0.956 0.627 0.750
16 Ni 0.667 0.333 0.603
17 Ni 0.333 0.166 0.021
18 Ni 0.627 0.672 0.250
19 Ni 0.000 0.500 0.500
20 Ni 0.333 0.667 0.103
21 Ni 0.667 0.834 0.521
22 Ni 0.834 0.166 0.021
23 Ni 0.333 0.667 0.397
24 Ni 0.834 0.166 0.479
25 Ni 0.834 0.667 0.021
26 Ni 0.672 0.627 0.750
27 Ni 0.956 0.328 0.750
28 Ni 0.500 0.000 0.500
29 Ni 0.500 0.500 0.500
30 Ni 0.166 0.834 0.521
31 Ni 0.166 0.333 0.521
32 Ni 0.166 0.834 0.979
33 Ni 0.667 0.333 0.897
34 Ni 0.672 0.044 0.750
35 Yb 0.000 0.000 0.750
36 Yb 0.333 0.667 0.750
37 Yb 0.667 0.333 0.250
38 Yb 0.000 0.000 0.250

ΔH_f (0 K)   -0.11 eV/atom
M_tot   18.1 Bohr magnetons per cell

No. 2
The following is a DFT calculation (PBE) of a relaxed structure of Y2SbRu.

abc: 7.924 7.924 6.450
angles: 52.10 52.10 90.00
Atoms (fractional coordinates):
1 Sb 0.750 0.250 0.500
2 Sb 0.000 0.000 0.000
3 Y 0.375 0.426 0.750
4 Y 0.176 0.625 0.250
5 Y 0.574 0.125 0.250
6 Y 0.875 0.824 0.750
7 Ru 0.500 0.500 0.000
8 Ru 0.250 0.750 0.500

M_tot   0.0 Bohr magnetons per cell
ΔE_f (raw)   -0.25 eV/atom

No. 3
The following is a DFT calculation (PBE) of a relaxed structure of Li2SmZnPd4.

abc: 4.392 4.392 8.287
angles: 74.63 74.63 60.00
Atoms (fractional coordinates):
1 Pd 0.393 0.393 0.821
2 Pd 0.607 0.607 0.179
3 Pd 0.128 0.128 0.616
4 Pd 0.872 0.872 0.384
5 Sm 0.000 0.000 0.000
6 Li 0.761 0.761 0.716
7 Li 0.239 0.239 0.284
8 Zn 0.500 0.500 0.500

ΔH_f (0 K)   -0.57 eV/atom
M_tot   0.0 Bohr magnetons per cell

No. 4
The following is a DFT calculation (PBE) of a relaxed structure of YZrV.

abc: 7.067 3.472 11.779
angles: 90.00 107.73 90.00
Atoms (fractional coordinates):
1 Zr 0.690 0.000 0.797
2 Zr 0.310 0.000 0.203
3 Zr 0.690 0.500 0.297
4 Zr 0.310 0.500 0.703
5 Y 0.000 0.000 0.500
6 Y 0.000 0.500 0.000
7 Y 0.500 0.500 0.000
8 Y 0.500 0.000 0.500
9 V 0.894 0.000 0.187
10 V 0.106 0.500 0.313
11 V 0.106 0.000 0.813
12 V 0.894 0.500 0.687

ΔH_f (0 K)   0.20 eV/atom
M_tot   0.0 Bohr magnetons per cell

No. 5
The following is a DFT calculation (PBE) of a relaxed structure of CuSiW.

abc: 3.018 3.018 9.743
angles: 98.91 98.91 90.00
Atoms (fractional coordinates):
1 Cu 0.285 0.285 0.570
2 Cu 0.715 0.715 0.430
3 Si 0.142 0.142 0.284
4 Si 0.858 0.858 0.716
5 W 0.565 0.565 0.131
6 W 0.435 0.435 0.869

M_tot   0.0 Bohr magnetons per cell
ΔE_f (raw)   0.42 eV/atom

No. 6
The following is a DFT calculation (PBE) of a relaxed structure of CuAsNF2.

abc: 3.790 3.790 4.166
angles: 90.00 90.00 90.00
Atoms (fractional coordinates):
1 F 0.500 0.000 0.000
2 F 0.000 0.500 0.000
3 Cu 0.000 0.000 0.000
4 N 0.000 0.000 0.500
5 As 0.500 0.500 0.500

M_tot   0.2 Bohr magnetons per cell
ΔE_f (raw)   0.03 eV/atom

No. 7
The following is a DFT calculation (PBE) of a relaxed structure of OsOF2.

abc: 3.874 3.874 3.874
angles: 60.00 60.00 60.00
Atoms (fractional coordinates):
1 Os 0.500 0.500 0.500
2 F 0.750 0.750 0.750
3 F 0.250 0.250 0.250
4 O 0.000 0.000 0.000

M_tot   3.9 Bohr magnetons per cell
ΔE_f (raw)   0.49 eV/atom

No. 8
The following is a DFT calculation (PBE) of a relaxed structure of LiLa4In12.

abc: 8.370 8.370 8.370
angles: 109.47 109.47 109.47
Atoms (fractional coordinates):
1 Li 0.000 0.000 0.000
2 In 0.750 0.500 0.250
3 In 0.750 0.250 0.500
4 In 0.500 0.250 0.750
5 In 0.000 0.714 0.714
6 In 0.500 0.750 0.250
7 In 0.250 0.750 0.500
8 In 0.286 0.000 0.286
9 In 0.250 0.500 0.750
10 In 0.286 0.286 0.000
11 In 0.714 0.000 0.714
12 In 0.000 0.286 0.286
13 In 0.714 0.714 0.000
14 La 0.500 0.000 0.000
15 La 0.000 0.000 0.500
16 La 0.500 0.500 0.500
17 La 0.000 0.500 0.000

ΔH_f (0 K)   -0.47 eV/atom
M_tot   0.0 Bohr magnetons per cell

No. 9
The following is a DFT calculation (PBE) of a relaxed structure of AcLa6Pm2Sm.

abc: 9.573 9.208 9.208
angles: 114.09 92.20 92.20
Atoms (fractional coordinates):
1 La 0.677 0.979 0.535
2 La 0.823 0.465 0.021
3 La 0.106 0.712 0.442
4 La 0.177 0.535 0.979
5 La 0.894 0.288 0.558
6 La 0.423 0.238 0.919
7 La 0.923 0.919 0.238
8 La 0.606 0.442 0.712
9 La 0.394 0.558 0.288
10 La 0.077 0.081 0.762
11 La 0.577 0.762 0.081
12 La 0.323 0.021 0.465
13 Sm 0.750 0.584 0.416
14 Sm 0.250 0.416 0.584
15 Ac 0.250 0.942 0.058
16 Ac 0.750 0.058 0.942
17 Pm 0.937 0.700 0.792
18 Pm 0.063 0.300 0.208
19 Pm 0.563 0.208 0.300
20 Pm 0.437 0.792 0.700

ΔH_f (0 K)   0.11 eV/atom
M_tot   0.0 Bohr magnetons per cell

No. 10
The following is a DFT calculation (PBE) of a relaxed structure of TlVSbI2.

abc: 5.720 5.720 5.255
angles: 90.00 90.00 90.00
Atoms (fractional coordinates):
1 Tl 0.500 0.500 0.500
2 Sb 0.000 0.000 0.500
3 I 0.500 0.000 0.000
4 I 0.000 0.500 0.000
5 V 0.000 0.000 0.000

M_tot   1.5 Bohr magnetons per cell
ΔE_f (raw)   0.00 eV/atom

No. 11
The following is a DFT calculation (PBE) of a relaxed structure of Hf3SeCl.

abc: 4.750 4.750 4.750
angles: 90.00 90.00 90.00
Atoms (fractional coordinates):
1 Hf 0.000 0.500 0.000
2 Hf 0.500 0.000 0.000
3 Hf 0.000 0.000 0.500
4 Cl 0.000 0.000 0.000
5 Se 0.500 0.500 0.500

M_tot   0.0 Bohr magnetons per cell
ΔE_f (raw)   0.33 eV/atom

No. 12
The following is a DFT calculation (PBE) of a relaxed structure of Ac8IrPb2.

abc: 4.664 9.364 10.489
angles: 97.10 102.85 90.00
Atoms (fractional coordinates):
1 Ac 0.212 0.354 0.424
2 Ac 0.596 0.533 0.192
3 Ac 0.404 0.467 0.808
4 Ac 0.354 0.981 0.707
5 Ac 0.646 0.019 0.293
6 Ac 0.997 0.793 0.994
7 Ac 0.788 0.646 0.576
8 Ac 0.003 0.207 0.006
9 Ir 0.500 0.000 0.000
10 Pb 0.183 0.765 0.366
11 Pb 0.817 0.235 0.634

ΔH_f (0 K)   -0.32 eV/atom
M_tot   0.0 Bohr magnetons per cell

No. 13
The following is a DFT calculation (PBE) of a relaxed structure of Cr2HgW.

abc: 4.989 4.989 4.989
angles: 141.40 127.30 67.20
Atoms (fractional coordinates):
1 W 0.250 0.750 0.500
2 Cr 0.018 0.018 0.000
3 Cr 0.482 0.482 0.000
4 Hg 0.750 0.250 0.500

ΔH_f (0 K)   0.70 eV/atom
M_tot   0.3 Bohr magnetons per cell

No. 14
The following is a DFT calculation (PBE) of a relaxed structure of TaIrW2.

abc: 7.381 7.381 5.840
angles: 50.81 50.81 90.00
Atoms (fractional coordinates):
1 W 0.104 0.625 0.250
2 W 0.646 0.125 0.250
3 W 0.875 0.896 0.750
4 W 0.375 0.354 0.750
5 Ta 0.250 0.750 0.500
6 Ta 0.500 0.500 0.000
7 Ir 0.000 0.000 0.000
8 Ir 0.750 0.250 0.500

ΔH_f (0 K)   0.63 eV/atom
M_tot   0.0 Bohr magnetons per cell

No. 15
The following is a DFT calculation (PBE) of a relaxed structure of Ba4CdBr.

abc: 7.593 7.593 7.593
angles: 60.00 60.00 60.00
Atoms (fractional coordinates):
1 Ba 0.375 0.375 0.375
2 Ba 0.375 0.876 0.375
3 Ba 0.375 0.375 0.876
4 Ba 0.876 0.375 0.375
5 Br 0.750 0.750 0.750
6 Cd 0.000 0.000 0.000

M_tot   1.0 Bohr magnetons per cell
ΔE_f (raw)   0.07 eV/atom

No. 16
The following is a DFT calculation (PBE) of a relaxed structure of MgZn2W.

abc: 2.747 2.747 8.533
angles: 90.00 90.00 90.00
Atoms (fractional coordinates):
1 Mg 0.000 0.000 0.500
2 Zn 0.000 0.000 0.001
3 Zn 0.500 0.500 0.236
4 W 0.500 0.500 0.762

ΔH_f (0 K)   0.20 eV/atom
M_tot   0.0 Bohr magnetons per cell

No. 17
The following is a DFT calculation (PBE) of a relaxed structure of CaNpGeO5.

abc: 5.895 5.895 7.754
angles: 102.47 102.47 107.13
Atoms (fractional coordinates):
1 O 0.278 0.393 0.585
2 O 0.914 0.338 0.139
3 O 0.338 0.914 0.639
4 O 0.086 0.662 0.861
5 O 0.662 0.086 0.361
6 O 0.095 0.905 0.250
7 O 0.905 0.095 0.750
8 O 0.722 0.607 0.415
9 O 0.607 0.722 0.915
10 O 0.393 0.278 0.085
11 Ca 0.338 0.662 0.250
12 Ca 0.662 0.338 0.750
13 Ge 0.678 0.322 0.250
14 Ge 0.322 0.678 0.750
15 Np 0.000 0.000 0.500
16 Np 0.000 0.000 0.000

M_tot   6.0 Bohr magnetons per cell
ΔE_f (raw)   -2.54 eV/atom

No. 18
The following is a DFT calculation (PBE) of a relaxed structure of Tl2Te2Pb2Se.

abc: 5.702 5.702 9.525
angles: 107.42 107.42 90.00
Atoms (fractional coordinates):
1 Pb 0.500 0.000 0.000
2 Pb 0.000 0.500 0.000
3 Te 0.619 0.619 0.237
4 Te 0.381 0.381 0.763
5 Tl 0.814 0.814 0.629
6 Tl 0.186 0.186 0.371
7 Se 0.000 0.000 0.000

M_tot   0.0 Bohr magnetons per cell
ΔE_f (raw)   -0.21 eV/atom

No. 19
The following is a DFT calculation (PBE) of a relaxed structure of CuAu2Se.

abc: 3.431 3.431 5.929
angles: 90.00 90.00 90.00
Atoms (fractional coordinates):
1 Au 0.000 0.000 0.010
2 Au 0.500 0.500 0.266
3 Se 0.500 0.500 0.711
4 Cu 0.000 0.000 0.513

M_tot   0.0 Bohr magnetons per cell
ΔE_f (raw)   0.15 eV/atom

No. 20
The following is a DFT calculation (PBE) of a relaxed structure of CrPt5.

abc: 7.246 7.246 4.625
angles: 90.00 90.00 157.62
Atoms (fractional coordinates):
1 Pt 0.663 0.337 0.000
2 Pt 0.219 0.781 0.500
3 Pt 0.885 0.115 0.500
4 Pt 0.346 0.654 0.000
5 Pt 0.551 0.449 0.500
6 Cr 0.003 0.997 0.000

ΔH_f (0 K)   -0.08 eV/atom
M_tot   3.1 Bohr magnetons per cell

Number 1: DOS(E_F) 102.19 states/eV per cell. Number 2: DOS(E_F) 7.71 states/eV per cell. Number 3: DOS(E_F) 4.12 states/eV per cell. Number 4: DOS(E_F) 15.70 states/eV per cell. Number 5: DOS(E_F) 5.88 states/eV per cell. Number 6: DOS(E_F) 3.05 states/eV per cell. Number 7: DOS(E_F) 3.64 states/eV per cell. Number 8: DOS(E_F) 4.29 states/eV per cell. Number 9: DOS(E_F) 25.50 states/eV per cell. Number 10: DOS(E_F) 3.55 states/eV per cell. Number 11: DOS(E_F) 4.20 states/eV per cell. Number 12: DOS(E_F) 12.59 states/eV per cell. Number 13: DOS(E_F) 3.94 states/eV per cell. Number 14: DOS(E_F) 4.76 states/eV per cell. Number 15: DOS(E_F) 9.68 states/eV per cell. Number 16: DOS(E_F) 2.14 states/eV per cell. Number 17: DOS(E_F) 17.35 states/eV per cell. Number 18: DOS(E_F) 1.02 states/eV per cell. Number 19: DOS(E_F) 1.76 states/eV per cell. Number 20: DOS(E_F) 10.67 states/eV per cell.